Record 1
First-principles (PBE-GGA) data for an optimized crystal structure of Ca3Tm2ThBi6, as listed in Alexandria.

Lattice parameters (Å, degrees): 7.860 13.587 7.983 90.00 109.07 90.00
Space group C2/m (No. 12)
Inequivalent atoms, fractional coordinates:
Ca 0.000 0.000 0.000 [2 per cell]
Ca 0.000 0.337 0.000 [4 per cell]
Tm 0.000 0.167 0.500 [4 per cell]
Th 0.000 0.500 0.500 [2 per cell]
Bi 0.238 0.000 0.737 [4 per cell]
Bi 0.249 0.170 0.259 [8 per cell]

Results
calculated density: 8.013 g/cm³
DOS(E_F): 0.610 states/eV per atom
total magnetic moment: 0.00 Bohr magnetons per cell
electronic total energy: -0.3323 Ry/atom
energy relative to the elements: -0.72 eV per atom


Record 2
First-principles (PBE-GGA) data for an optimized crystal structure of Ca2TmThBi4, as listed in Alexandria.

Lattice parameters (Å, degrees): 7.866 4.577 8.001 90.00 109.39 90.00
Space group P2/m (No. 10)
Inequivalent atoms, fractional coordinates:
Ca 0.000 0.000 0.000 [1 per cell]
Ca 0.500 0.500 0.000 [1 per cell]
Tm 0.000 0.500 0.500 [1 per cell]
Th 0.500 0.000 0.500 [1 per cell]
Bi 0.240 0.000 0.740 [2 per cell]
Bi 0.246 0.500 0.256 [2 per cell]

Results
calculated density: 8.047 g/cm³
DOS(E_F): 0.612 states/eV per atom
total magnetic moment: 0.00 Bohr magnetons per cell
electronic total energy: -0.3417 Ry/atom
energy relative to the elements: -0.72 eV per atom


Record 3
First-principles (PBE-GGA) data for an optimized crystal structure of CaY2Th3Bi6, as listed in Alexandria.

Lattice parameters (Å, degrees): 19.842 4.571 9.101 90.00 102.73 90.00
Space group C2/m (No. 12)
Inequivalent atoms, fractional coordinates:
Ca 0.000 0.000 0.000 [2 per cell]
Y 0.166 0.500 0.333 [4 per cell]
Th 0.000 0.000 0.500 [2 per cell]
Th 0.165 0.500 0.833 [4 per cell]
Bi 0.002 0.500 0.249 [4 per cell]
Bi 0.167 0.000 0.088 [4 per cell]
Bi 0.169 0.000 0.579 [4 per cell]

Results
calculated density: 8.943 g/cm³
DOS(E_F): 0.426 states/eV per atom
total magnetic moment: 0.00 Bohr magnetons per cell
electronic total energy: -0.4247 Ry/atom
energy relative to the elements: -0.74 eV per atom


Record 4
First-principles (PBE-GGA) data for an optimized crystal structure of Ca3YTh2Bi6, as listed in Alexandria.

Lattice parameters (Å, degrees): 7.973 13.806 7.970 90.00 109.48 90.00
Space group C2/m (No. 12)
Inequivalent atoms, fractional coordinates:
Ca 0.000 0.000 0.000 [2 per cell]
Ca 0.000 0.332 0.000 [4 per cell]
Y 0.000 0.500 0.500 [2 per cell]
Th 0.000 0.166 0.500 [4 per cell]
Bi 0.246 0.335 0.744 [8 per cell]
Bi 0.248 0.500 0.254 [4 per cell]

Results
calculated density: 7.737 g/cm³
DOS(E_F): 0.497 states/eV per atom
total magnetic moment: 0.00 Bohr magnetons per cell
electronic total energy: -0.3651 Ry/atom
energy relative to the elements: -0.75 eV per atom


Record 5
First-principles (PBE-GGA) data for an optimized crystal structure of Ca2TiBi, as listed in Alexandria.

Lattice parameters (Å, degrees): 8.798 8.798 6.354 90.00 90.00 90.00
Space group I-42d (No. 122)
Inequivalent atoms, fractional coordinates:
Ca 0.240 0.250 0.125 [8 per cell]
Ti 0.000 0.000 0.500 [4 per cell]
Bi 0.000 0.000 0.000 [4 per cell]

Results
calculated density: 4.551 g/cm³
DOS(E_F): 0.930 states/eV per atom
total magnetic moment: 10.35 Bohr magnetons per cell
electronic total energy: -0.2707 Ry/atom
energy relative to the elements: 0.26 eV per atom


Record 6
First-principles (PBE-GGA) data for an optimized crystal structure of CaTiBi2, as listed in Alexandria.

Lattice parameters (Å, degrees): 8.154 8.154 7.085 90.00 90.00 90.00
Space group I-42d (No. 122)
Inequivalent atoms, fractional coordinates:
Ca 0.000 0.000 0.000 [4 per cell]
Ti 0.000 0.000 0.500 [4 per cell]
Bi 0.219 0.750 0.625 [8 per cell]

Results
calculated density: 7.134 g/cm³
DOS(E_F): 0.960 states/eV per atom
total magnetic moment: 3.65 Bohr magnetons per cell
electronic total energy: -0.3380 Ry/atom
energy relative to the elements: -0.18 eV per atom


Record 7
First-principles (PBE-GGA) data for an optimized crystal structure of CaTi3Bi, as listed in Alexandria.

Lattice parameters (Å, degrees): 4.861 4.861 4.861 90.00 90.00 90.00
Space group Pm-3m (No. 221)
Inequivalent atoms, fractional coordinates:
Ca 0.000 0.000 0.000 [1 per cell]
Ti 0.000 0.000 0.500 [3 per cell]
Bi 0.500 0.500 0.500 [1 per cell]

Results
calculated density: 5.676 g/cm³
DOS(E_F): 1.164 states/eV per atom
total magnetic moment: 2.98 Bohr magnetons per cell
electronic total energy: -0.3259 Ry/atom
energy relative to the elements: 1.48 eV per atom


Record 8
First-principles (PBE-GGA) data for an optimized crystal structure of Ca2TiBi2, as listed in Alexandria.

Lattice parameters (Å, degrees): 7.809 7.809 4.733 90.00 90.00 90.00
Space group P4/mbm (No. 127)
Inequivalent atoms, fractional coordinates:
Ca 0.160 0.340 0.000 [4 per cell]
Ti 0.000 0.000 0.500 [2 per cell]
Bi 0.155 0.655 0.500 [4 per cell]

Results
calculated density: 6.283 g/cm³
DOS(E_F): 0.546 states/eV per atom
total magnetic moment: 0.01 Bohr magnetons per cell
electronic total energy: -0.3186 Ry/atom
energy relative to the elements: -0.40 eV per atom